ScAlAuSe2, relaxed, DFT PBE; DFT total energy = -19.62 eV per formula unit; formation energy (no corrections) = 13.6 kJ/mol of atoms; magnetic moment = 0.0000 μB/atom
1.0
5.028 0.000 0.000
0.000 5.028 0.000
0.000 0.000 5.607
Sc Al Au Se
1 1 1 2
direct
0.000 0.000 0.000
0.000 0.000 0.500
0.500 0.500 0.500
0.000 0.500 0.000
0.500 0.000 0.000